a:
{"formula": "Na2SmHg3", "functional": "PBE", "state": "relaxed", "magnetic_moment_mub_per_cell": 0.00, "dos_at_fermi_per_ev_fu": 4.804, "lattice": [[5.2941, 0.0000, 0.0000], [-2.6471, 4.5848, 0.0000], [0.0000, 0.0000, 6.3996]], "species": ["Na", "Na", "Sm", "Hg", "Hg", "Hg"], "frac_coords": [[0.3333, 0.6667, 0.1447], [0.6667, 0.3333, 0.8553], [0.0000, 0.0000, 0.5000], [0.0000, 0.0000, 0.0000], [0.3333, 0.6667, 0.6409], [0.6667, 0.3333, 0.3591]]}


b:
{"formula": "Na2SmHg3", "functional": "PBE", "state": "relaxed", "magnetic_moment_mub_per_cell": 0.00, "dos_at_fermi_per_ev_fu": 3.788, "lattice": [[2.6323, -7.9012, 0.0000], [2.6323, 7.9012, 0.0000], [0.0000, 0.0000, 7.5819]], "species": ["Na", "Na", "Na", "Na", "Sm", "Sm", "Hg", "Hg", "Hg", "Hg", "Hg", "Hg"], "frac_coords": [[0.0000, 0.0000, 0.0000], [0.0000, 0.0000, 0.5000], [0.3336, 0.6664, 0.0000], [0.6664, 0.3336, 0.0000], [0.3358, 0.6642, 0.5000], [0.6642, 0.3358, 0.5000], [0.1690, 0.8310, 0.2576], [0.1690, 0.8310, 0.7424], [0.5000, 0.5000, 0.2507], [0.5000, 0.5000, 0.7493], [0.8310, 0.1690, 0.2576], [0.8310, 0.1690, 0.7424]]}


Short version: a is the most stable of them.


a:
{"formula": "Na2SnHg4", "functional": "PBE", "state": "relaxed", "magnetic_moment_mub_per_cell": 0.00, "dos_at_fermi_per_ev_fu": 2.764, "lattice": [[4.3894, -2.5615, 0.0000], [4.3894, 2.5615, 0.0000], [-2.7609, 0.0000, 8.5668]], "species": ["Na", "Na", "Sn", "Hg", "Hg", "Hg", "Hg"], "frac_coords": [[0.2476, 0.2476, 0.2433], [0.7524, 0.7524, 0.7567], [0.5000, 0.5000, 0.0000], [0.1219, 0.1219, 0.8633], [0.3652, 0.3652, 0.6004], [0.6348, 0.6348, 0.3996], [0.8781, 0.8781, 0.1367]]}


b:
{"formula": "Na2SnHg4", "functional": "PBE", "state": "relaxed", "magnetic_moment_mub_per_cell": 0.00, "dos_at_fermi_per_ev_fu": 4.835, "lattice": [[-2.8294, 2.8294, 7.9609], [2.8294, -2.8294, 7.9609], [2.8294, 2.8294, -7.9609]], "species": ["Na", "Na", "Sn", "Hg", "Hg", "Hg", "Hg"], "frac_coords": [[0.1120, 0.1120, 0.0000], [0.8880, 0.8880, 0.0000], [0.5000, 0.5000, 0.0000], [0.0000, 0.5000, 0.5000], [0.2995, 0.2995, 0.0000], [0.5000, 0.0000, 0.5000], [0.7005, 0.7005, 0.0000]]}


Short version: a is the most stable of them.


a:
{"formula": "Na3SnHg4", "functional": "PBE", "state": "relaxed", "magnetic_moment_mub_per_cell": 0.00, "dos_at_fermi_per_ev_fu": 3.042, "lattice": [[-3.2194, 5.4524, 3.1036], [3.2194, -5.4524, 3.1036], [3.2194, 5.4524, -3.1036]], "species": ["Na", "Na", "Na", "Sn", "Hg", "Hg", "Hg", "Hg"], "frac_coords": [[0.0000, 0.0000, 0.0000], [0.4347, 0.6675, 0.7672], [0.9004, 0.6675, 0.2328], [0.9731, 0.4731, 0.5000], [0.4317, 0.1856, 0.7539], [0.4317, 0.6778, 0.2461], [0.4469, 0.1644, 0.2825], [0.8819, 0.1644, 0.7175]]}


b:
{"formula": "Na3SnHg4", "functional": "PBE", "state": "relaxed", "magnetic_moment_mub_per_cell": 0.00, "dos_at_fermi_per_ev_fu": 2.380, "lattice": [[9.0167, -2.5351, 0.0000], [9.0167, 2.5351, 0.0000], [-0.0254, 0.0000, 5.0656]], "species": ["Na", "Na", "Na", "Sn", "Hg", "Hg", "Hg", "Hg"], "frac_coords": [[0.0000, 0.0000, 0.0000], [0.3126, 0.3126, 0.5060], [0.6874, 0.6874, 0.4940], [0.5000, 0.5000, 0.5000], [0.0959, 0.0959, 0.5016], [0.1972, 0.1972, 0.0026], [0.8028, 0.8028, 0.9974], [0.9041, 0.9041, 0.4984]]}


Short version: b is the most stable of them.


a:
{"formula": "NaSn3Hg", "functional": "PBE", "state": "relaxed", "magnetic_moment_mub_per_cell": 0.00, "dos_at_fermi_per_ev_fu": 2.230, "lattice": [[3.2040, 0.0000, 0.0000], [0.0000, 10.8891, 0.0000], [-1.5821, 0.0000, 8.4102]], "species": ["Na", "Na", "Sn", "Sn", "Sn", "Sn", "Sn", "Sn", "Hg", "Hg"], "frac_coords": [[0.0070, 0.2500, 0.0160], [0.9930, 0.7500, 0.9840], [0.3295, 0.2500, 0.6606], [0.4096, 0.0000, 0.8182], [0.4096, 0.5000, 0.8182], [0.5904, 0.0000, 0.1818], [0.5904, 0.5000, 0.1818], [0.6705, 0.7500, 0.3394], [0.3288, 0.7500, 0.6527], [0.6712, 0.2500, 0.3473]]}


b:
{"formula": "NaSn3Hg", "functional": "PBE", "state": "relaxed", "magnetic_moment_mub_per_cell": 0.00, "dos_at_fermi_per_ev_fu": 4.493, "lattice": [[5.4706, 0.0000, 0.0000], [0.0000, 5.4706, 0.0000], [0.0000, 0.0000, 5.4706]], "species": ["Na", "Sn", "Sn", "Sn", "Hg"], "frac_coords": [[0.0000, 0.0000, 0.0000], [0.0000, 0.0000, 0.5000], [0.0000, 0.5000, 0.0000], [0.5000, 0.0000, 0.0000], [0.5000, 0.5000, 0.5000]]}


Short version: a is the most stable of them.


a:
{"formula": "NaSn3Hg", "functional": "PBE", "state": "relaxed", "magnetic_moment_mub_per_cell": 0.00, "dos_at_fermi_per_ev_fu": 3.046, "lattice": [[5.6722, 0.0000, 0.0000], [0.0000, 5.6722, 0.0000], [0.0000, 0.0000, 5.6722]], "species": ["Na", "Sn", "Sn", "Sn", "Hg"], "frac_coords": [[0.0000, 0.0000, 0.0000], [0.0000, 0.5000, 0.5000], [0.5000, 0.0000, 0.5000], [0.5000, 0.5000, 0.0000], [0.5000, 0.5000, 0.5000]]}


b:
{"formula": "NaSn3Hg", "functional": "PBE", "state": "relaxed", "magnetic_moment_mub_per_cell": 0.00, "dos_at_fermi_per_ev_fu": 2.364, "lattice": [[9.8868, 0.0000, 0.0000], [0.0000, 7.4674, 0.0000], [-3.2443, 0.0000, 7.5049]], "species": ["Na", "Na", "Na", "Na", "Sn", "Sn", "Sn", "Sn", "Sn", "Sn", "Sn", "Sn", "Sn", "Sn", "Sn", "Sn", "Hg", "Hg", "Hg", "Hg"], "frac_coords": [[0.0912, 0.1959, 0.0311], [0.0912, 0.3041, 0.5311], [0.9088, 0.6959, 0.4689], [0.9088, 0.8041, 0.9689], [0.2139, 0.5625, 0.2831], [0.2139, 0.9375, 0.7831], [0.3824, 0.6354, 0.6942], [0.3824, 0.8646, 0.1942], [0.3884, 0.2015, 0.4198], [0.3884, 0.2985, 0.9198], [0.6116, 0.7015, 0.0802], [0.6116, 0.7985, 0.5802], [0.6176, 0.1354, 0.8058], [0.6176, 0.3646, 0.3058], [0.7861, 0.0625, 0.2169], [0.7861, 0.4375, 0.7169], [0.1218, 0.5600, 0.8625], [0.1218, 0.9400, 0.3625], [0.8782, 0.0600, 0.6375], [0.8782, 0.4400, 0.1375]]}


Short version: b is the most stable of them.


a:
{"formula": "NaSnHg4", "functional": "PBE", "state": "relaxed", "magnetic_moment_mub_per_cell": 0.00, "dos_at_fermi_per_ev_fu": 1.445, "lattice": [[0.0000, 4.3021, 4.3021], [4.3021, 0.0000, 4.3021], [4.3021, 4.3021, 0.0000]], "species": ["Na", "Sn", "Hg", "Hg", "Hg", "Hg"], "frac_coords": [[0.0000, 0.0000, 0.0000], [0.2500, 0.2500, 0.2500], [0.1242, 0.6253, 0.6253], [0.6253, 0.1242, 0.6253], [0.6253, 0.6253, 0.1242], [0.6253, 0.6253, 0.6253]]}


b:
{"formula": "NaSnHg4", "functional": "PBE", "state": "relaxed", "magnetic_moment_mub_per_cell": 0.00, "dos_at_fermi_per_ev_fu": 2.612, "lattice": [[5.5492, -2.1006, 0.0000], [5.5492, 2.1006, 0.0000], [-2.1560, 0.0000, 6.5733]], "species": ["Na", "Sn", "Hg", "Hg", "Hg", "Hg"], "frac_coords": [[0.0000, 0.0000, 0.0000], [0.0000, 0.0000, 0.5000], [0.3314, 0.3314, 0.1640], [0.3342, 0.3342, 0.6679], [0.6658, 0.6658, 0.3321], [0.6686, 0.6686, 0.8360]]}


Short version: b is the most stable of them.